Compound: K2BeSbSe4
Source: Alexandria
Functional: PBE
Structure: optimized geometry

a b c (Å): 6.3613 7.9463 11.7040
angles (deg): 83.76 74.23 66.41
Element x y z (fractional)
Be 0.0000 0.0000 0.0000
Be 0.7500 0.5000 0.5000
Se 0.6422 0.1957 0.1068
Se 0.4990 0.6957 0.3932
Se 0.1078 0.3043 0.3932
Se 0.1621 0.1957 0.8932
Se 0.5879 0.3043 0.6068
Se 0.8053 0.6957 0.6068
Se 0.2510 0.8043 0.1068
Se 0.9447 0.8043 0.8932
K 0.5692 0.5000 0.8616
K 0.1808 0.0000 0.6384
K 0.8192 0.0000 0.3616
K 0.9308 0.5000 0.1384
Sb 0.5000 0.0000 0.0000
Sb 0.2500 0.5000 0.5000

Summary:
E_form (uncorrected), eV/atom: -0.68
Total magnetization, μB per formula unit: 0.25